This record from the Alexandria database describes Sr2TaInO6 after structural relaxation. The functional is PBE.

Geometry as extended XYZ:
```
20
Lattice="5.784 0.000 0.000 0.000 5.835 0.000 -5.773 0.000 8.202" Properties=species:S:1:pos:R:3 pbc="T T T"
Sr -0.037 0.188 2.056
Sr -2.923 2.729 6.157
Sr 2.934 3.106 2.045
Sr 0.048 5.647 6.146
Ta -2.886 0.000 4.101
Ta 0.000 2.917 0.000
In 2.892 0.000 0.000
In 0.006 2.917 4.101
O -4.603 1.316 7.877
O -1.717 1.601 3.776
O -4.186 4.109 7.904
O -1.300 4.644 3.803
O -2.466 0.109 6.059
O 0.420 2.809 1.958
O -0.409 3.026 6.244
O 2.477 5.726 2.143
O 1.311 1.191 4.399
O 4.197 1.726 0.298
O 1.728 4.234 4.426
O 4.614 4.519 0.325
```

Energy relative to the elements, uncorrected, meV/atom: -2686.1
Spin magnetization, μB/f.u.: 0.0
Space-group type: P2_1/c, No. 14